Record 1
The following is a PBE-GGA calculation of Tb2AlAg after structural relaxation, from the Alexandria database.

Structure (POSCAR):
```
Tb2AlAg
1.0
3.565 0.000 0.000
0.000 3.565 0.000
0.000 0.000 7.592
Tb Al Ag
2 1 1
Cartesian
0.000 0.000 1.893
0.000 0.000 5.698
1.783 1.783 0.000
1.783 1.783 3.796
```

Results
N(E_F)   3.11 states/eV/f.u.
SG   No. 123

=====

Record 2
The following is a PBE-GGA calculation of Pr2YHo4 after structural relaxation, from the Alexandria database.

Structure (POSCAR):
```
Pr2YHo4
1.0
7.096 0.000 0.000
-1.764 8.428 0.000
-1.778 -4.073 7.677
Pr Y Ho
4 2 8
Cartesian
0.000 0.000 0.000
-1.789 1.094 6.434
1.752 1.204 6.439
3.528 5.945 2.084
-0.025 3.378 4.175
1.771 0.499 3.161
-0.003 -1.905 5.178
-0.006 5.945 2.055
1.775 3.058 1.030
1.761 8.411 0.027
3.510 -1.923 5.189
3.539 3.361 4.192
5.295 3.067 1.026
5.296 0.512 3.141
```

Results
N(E_F)   10.33 states/eV/f.u.
SG   No. 1
Energy above the lowest structure with this stoichiometry   0.000 eV/atom

=====

Record 3
The following is a PBE-GGA calculation of K3RbNa6 after structural relaxation, from the Alexandria database.

Structure (POSCAR):
```
K3RbNa6
1.0
7.501 -8.434 0.000
7.501 8.434 0.000
0.000 0.000 8.432
K Rb Na
6 2 12
Cartesian
7.501 7.270 4.216
4.114 0.694 6.295
4.114 -0.694 2.079
10.889 0.694 6.295
10.889 -0.694 2.079
7.501 -7.270 0.000
7.501 3.423 2.120
7.501 -3.423 6.336
3.350 3.753 0.574
5.717 6.002 7.718
9.286 6.002 7.718
7.501 3.152 6.283
3.350 -3.753 4.790
7.501 0.027 8.423
7.501 -0.027 4.206
11.653 3.753 0.574
7.501 -3.152 2.067
5.717 -6.002 3.502
9.286 -6.002 3.502
11.653 -3.753 4.790
```

Results
N(E_F)   6.48 states/eV/f.u.
SG   No. 36
Energy above the lowest structure with this stoichiometry   0.014 eV/atom

=====

We obtain total moment values of 0.00 0.00 0.00 μB/f.u. for the records listed above, in that order.
We obtain formation energy from the elements values of -0.357 0.038 0.049 eV/atom for the records listed above, in that order.